# GGA-PBE Pr8Rh3I3N, relaxed
# Raw total energy: -170.75 eV per cell
# Density: 6.32 g cm⁻³
# ΔE_f (raw): -12.11 eV per formula unit
# Fermi-level density of states: 13.16 states/eV/f.u.
data_Pr8Rh3I3N
_symmetry_space_group_name_H-M 'C 1 2/m 1'
_symmetry_Int_Tables_number 12
_cell_length_a 14.263
_cell_length_b 8.222
_cell_length_c 9.479
_cell_angle_alpha 90.00
_cell_angle_beta 120.11
_cell_angle_gamma 90.00
loop_
_symmetry_equiv_pos_as_xyz
'x,y,z'
'-x,-y,-z'
'-x,y,-z'
'x,-y,z'
'x+1/2,y+1/2,z'
'-x+1/2,-y+1/2,-z'
'-x+1/2,y+1/2,-z'
'x+1/2,-y+1/2,z'
loop_
_atom_site_label
_atom_site_type_symbol
_atom_site_fract_x
_atom_site_fract_y
_atom_site_fract_z
Pr1 Pr 0.017 0.229 0.324
Pr2 Pr 0.212 0.000 0.676
Pr3 Pr 0.229 0.500 0.687
Rh1 Rh 0.000 0.500 0.500
Rh2 Rh 0.250 0.250 0.500
I1 I 0.000 0.000 0.000
I2 I 0.250 0.250 0.000
N1 N 0.000 0.000 0.500

# GGA-PBE CsC8, relaxed
# Energy relative to the lowest polymorph listed for this composition: 2.213 eV per atom
# Raw total energy: -110.36 eV per cell
# Energy of formation from the pure elements: 19.467 eV per formula unit
# Density: 2.74 g cm⁻³
# Fermi-level density of states: 5.56 states/eV/f.u.
data_CsC8
_symmetry_space_group_name_H-M 'I 4/m m m'
_symmetry_Int_Tables_number 139
_symmetry_space_group_name_Hall '-I 4 2'
_cell_length_a 10.198
_cell_length_b 10.198
_cell_length_c 2.665
_cell_angle_alpha 90.00
_cell_angle_beta 90.00
_cell_angle_gamma 90.00
loop_
_atom_site_label
_atom_site_type_symbol
_atom_site_fract_x
_atom_site_fract_y
_atom_site_fract_z
Cs1 Cs 0.000 0.000 0.000
C1 C 0.000 0.418 0.000
C2 C 0.248 0.248 0.500

# GGA-PBE KCoTe2, relaxed
# Raw total energy: -48.29 eV per cell
# Density: 5.45 g cm⁻³
# ΔE_f (raw): -1.61 eV per formula unit
# Fermi-level density of states: 0.37 states/eV/f.u.
data_KCoTe2
_symmetry_space_group_name_H-M 'R -3 m'
_symmetry_Int_Tables_number 166
_symmetry_space_group_name_Hall '-R 3 2"'
_cell_length_a 3.9775
_cell_length_b 3.9775
_cell_length_c 23.5793
_cell_angle_alpha 90.00
_cell_angle_beta 90.00
_cell_angle_gamma 120.00
loop_
_atom_site_label
_atom_site_type_symbol
_atom_site_fract_x
_atom_site_fract_y
_atom_site_fract_z
K1 K 0.0000 0.0000 0.0000
Co1 Co 0.0000 0.0000 0.5000
Te1 Te 0.0000 0.0000 0.2199

# GGA-PBE ScGe2C, relaxed
# Raw total energy: -94.96 eV per cell
# Energy of formation from the pure elements: 1.051 eV per formula unit
# Density: 5.19 g cm⁻³
# Fermi-level density of states: 0.58 states/eV/f.u.
data_ScGe2C
_symmetry_space_group_name_H-M 'I -4 2 d'
_symmetry_Int_Tables_number 122
_symmetry_space_group_name_Hall 'I -4 2bw'
_cell_length_a 6.338
_cell_length_b 6.338
_cell_length_c 6.440
_cell_angle_alpha 90.00
_cell_angle_beta 90.00
_cell_angle_gamma 90.00
loop_
_atom_site_label
_atom_site_type_symbol
_atom_site_fract_x
_atom_site_fract_y
_atom_site_fract_z
Sc1 Sc 0.000 0.000 0.000
Ge1 Ge 0.163 0.750 0.625
C1 C 0.000 0.000 0.500

# GGA-PBE Bi2IrO6, relaxed
# Energy relative to the lowest polymorph listed for this composition: 0.226 eV per atom
# Raw total energy: -105.72 eV per cell
# Density: 8.17 g cm⁻³
# ΔE_f (raw): -6.49 eV per formula unit
# Fermi-level density of states: 4.30 states/eV/f.u.
data_Bi2IrO6
_symmetry_space_group_name_H-M 'I -4 2 m'
_symmetry_Int_Tables_number 121
_symmetry_space_group_name_Hall 'I -4 2'
_cell_length_a 4.160
_cell_length_b 4.160
_cell_length_c 16.588
_cell_angle_alpha 90.00
_cell_angle_beta 90.00
_cell_angle_gamma 90.00
loop_
_atom_site_label
_atom_site_type_symbol
_atom_site_fract_x
_atom_site_fract_y
_atom_site_fract_z
Bi1 Bi 0.000 0.000 0.179
Ir1 Ir 0.000 0.000 0.500
O1 O 0.000 0.500 0.250
O2 O 0.235 0.235 0.428

# GGA-PBE MnFeRe, relaxed
# Energy relative to the lowest polymorph listed for this composition: 0.071 eV per atom
# Raw total energy: -59.87 eV per cell
# Energy of formation from the pure elements: 0.143 eV per formula unit
# Density: 12.96 g cm⁻³
# Fermi-level density of states: 2.88 states/eV/f.u.
data_MnFeRe
_symmetry_space_group_name_H-M 'I 4 m m'
_symmetry_Int_Tables_number 107
_symmetry_space_group_name_Hall 'I 4 -2'
_cell_length_a 2.965
_cell_length_b 2.965
_cell_length_c 8.657
_cell_angle_alpha 90.00
_cell_angle_beta 90.00
_cell_angle_gamma 90.00
loop_
_atom_site_label
_atom_site_type_symbol
_atom_site_fract_x
_atom_site_fract_y
_atom_site_fract_z
Mn1 Mn 0.000 0.000 0.000
Fe1 Fe 0.000 0.000 0.342
Re1 Re 0.000 0.000 0.671

# GGA-PBE Mn2TlNiRh, relaxed
# Raw total energy: -29.79 eV per cell
# Energy of formation from the pure elements: 4.049 eV per formula unit
# Density: 8.29 g cm⁻³
# Fermi-level density of states: 2.77 states/eV/f.u.
data_Mn2TlNiRh
_symmetry_space_group_name_H-M 'P 4/m m m'
_symmetry_Int_Tables_number 123
_symmetry_space_group_name_Hall '-P 4 2'
_cell_length_a 4.475
_cell_length_b 4.475
_cell_length_c 4.759
_cell_angle_alpha 90.00
_cell_angle_beta 90.00
_cell_angle_gamma 90.00
loop_
_atom_site_label
_atom_site_type_symbol
_atom_site_fract_x
_atom_site_fract_y
_atom_site_fract_z
Mn1 Mn 0.000 0.500 0.000
Tl1 Tl 0.000 0.000 0.500
Ni1 Ni 0.000 0.000 0.000
Rh1 Rh 0.500 0.500 0.500

# GGA-PBE HRu3Au, relaxed
# Energy relative to the lowest polymorph listed for this composition: 2.355 eV per atom
# Raw total energy: -20.94 eV per cell
# Density: 6.87 g cm⁻³
# Fermi-level density of states: 7.51 states/eV/f.u.
data_HRu3Au
_symmetry_space_group_name_H-M 'P m -3 m'
_symmetry_Int_Tables_number 221
_symmetry_space_group_name_Hall '-P 4 2 3'
_cell_length_a 4.948
_cell_length_b 4.948
_cell_length_c 4.948
_cell_angle_alpha 90.00
_cell_angle_beta 90.00
_cell_angle_gamma 90.00
loop_
_atom_site_label
_atom_site_type_symbol
_atom_site_fract_x
_atom_site_fract_y
_atom_site_fract_z
H1 H 0.000 0.000 0.000
Ru1 Ru 0.000 0.500 0.500
Au1 Au 0.500 0.500 0.500

# GGA-PBE CeThFe, relaxed
# Energy relative to the lowest polymorph listed for this composition: 0.043 eV per atom
# Raw total energy: -43.82 eV per cell
# Energy of formation from the pure elements: -0.093 eV per formula unit
# Density: 10.01 g cm⁻³
# Fermi-level density of states: 3.39 states/eV/f.u.
data_CeThFe
_symmetry_space_group_name_H-M 'P 1 21/m 1'
_symmetry_Int_Tables_number 11
_cell_length_a 4.431
_cell_length_b 4.621
_cell_length_c 6.941
_cell_angle_alpha 90.00
_cell_angle_beta 91.83
_cell_angle_gamma 90.00
loop_
_symmetry_equiv_pos_as_xyz
'x,y,z'
'-x,-y,-z'
'-x,y+1/2,-z'
'x,-y+1/2,z'
loop_
_atom_site_label
_atom_site_type_symbol
_atom_site_fract_x
_atom_site_fract_y
_atom_site_fract_z
Ce1 Ce 0.233 0.250 0.024
Th1 Th 0.243 0.750 0.388
Fe1 Fe 0.397 0.750 0.758

# GGA-PBE Nd7HoTm4, relaxed
# Energy relative to the lowest polymorph listed for this composition: 0.000 eV per atom
# Raw total energy: -55.78 eV per cell
# Energy of formation from the pure elements: 0.059 eV per formula unit
# Density: 7.72 g cm⁻³
# Fermi-level density of states: 15.25 states/eV/f.u.
data_Nd7HoTm4
_symmetry_space_group_name_H-M 'P -1'
_symmetry_Int_Tables_number 2
_cell_length_a 6.302
_cell_length_b 7.261
_cell_length_c 8.950
_cell_angle_alpha 89.97
_cell_angle_beta 76.47
_cell_angle_gamma 89.96
loop_
_symmetry_equiv_pos_as_xyz
'x,y,z'
'-x,-y,-z'
loop_
_atom_site_label
_atom_site_type_symbol
_atom_site_fract_x
_atom_site_fract_y
_atom_site_fract_z
Nd1 Nd 0.000 0.000 0.000
Nd2 Nd 0.221 0.500 0.335
Nd3 Nd 0.281 0.751 0.665
Nd4 Nd 0.499 0.247 0.998
Ho1 Ho 0.000 0.500 0.000
Tm1 Tm 0.219 0.000 0.336
Tm2 Tm 0.277 0.246 0.667

# GGA-PBE Mg2TaSb2, relaxed
# Raw total energy: -46.08 eV per cell
# Density: 6.95 g cm⁻³
# ΔE_f (raw): 0.25 eV per formula unit
# Fermi-level density of states: 1.96 states/eV/f.u.
data_Mg2TaSb2
_symmetry_space_group_name_H-M 'P 4/m b m'
_symmetry_Int_Tables_number 127
_symmetry_space_group_name_Hall '-P 4 2ab'
_cell_length_a 7.366
_cell_length_b 7.366
_cell_length_c 4.164
_cell_angle_alpha 90.00
_cell_angle_beta 90.00
_cell_angle_gamma 90.00
loop_
_atom_site_label
_atom_site_type_symbol
_atom_site_fract_x
_atom_site_fract_y
_atom_site_fract_z
Mg1 Mg 0.160 0.340 0.000
Ta1 Ta 0.000 0.000 0.500
Sb1 Sb 0.151 0.651 0.500

# GGA-PBE TlBiH2Ru, relaxed
# Raw total energy: -17.23 eV per cell
# Density: 8.41 g cm⁻³
# Fermi-level density of states: 5.67 states/eV/f.u.
data_TlBiH2Ru
_symmetry_space_group_name_H-M 'P 4/m m m'
_symmetry_Int_Tables_number 123
_symmetry_space_group_name_Hall '-P 4 2'
_cell_length_a 3.983
_cell_length_b 3.983
_cell_length_c 6.425
_cell_angle_alpha 90.00
_cell_angle_beta 90.00
_cell_angle_gamma 90.00
loop_
_atom_site_label
_atom_site_type_symbol
_atom_site_fract_x
_atom_site_fract_y
_atom_site_fract_z
Tl1 Tl 0.000 0.000 0.000
Bi1 Bi 0.000 0.000 0.500
H1 H 0.000 0.500 0.500
Ru1 Ru 0.500 0.500 0.000